Entry 1:
Entry from Alexandria via LeMat-Bulk: a relaxed Sc2Si2SnRh5 crystal (PBE-GGA).

Summary:
- E_form (uncorrected): -0.95 eV/atom
- Raw total energy: -147.51 eV per cell

Geometry as POSCAR:
```
Sc2Si2SnRh5
1.0
3.539 0.000 0.000
0.000 9.482 0.000
0.000 0.000 9.482
Sc Rh Si Sn
4 10 4 2
Direct
0.000 0.826 0.674 Sc
0.000 0.674 0.174 Sc
0.000 0.326 0.826 Sc
0.000 0.174 0.326 Sc
0.500 0.214 0.072 Rh
0.500 0.786 0.928 Rh
0.500 0.000 0.500 Rh
0.500 0.714 0.428 Rh
0.500 0.928 0.214 Rh
0.500 0.286 0.572 Rh
0.500 0.428 0.286 Rh
0.500 0.072 0.786 Rh
0.500 0.572 0.714 Rh
0.500 0.500 0.000 Rh
0.000 0.377 0.123 Si
0.000 0.877 0.377 Si
0.000 0.123 0.623 Si
0.000 0.623 0.877 Si
0.000 0.500 0.500 Sn
0.000 0.000 0.000 Sn
```

***

Entry 2:
Entry from Alexandria via LeMat-Bulk: a relaxed Fe2BH crystal (PBE-GGA).

Summary:
- Raw total energy: -26.17 eV per cell

Geometry as POSCAR:
```
Fe2BH
1.0
2.882 0.000 0.000
1.441 2.495 0.000
1.441 0.832 5.273
Fe H B
2 1 1
Direct
0.900 0.900 0.301 Fe
0.100 0.100 0.699 Fe
0.000 0.000 0.000 H
0.500 0.500 0.500 B
```

***

Entry 3:
Entry from Alexandria via LeMat-Bulk: a relaxed La2Nd3DyS6 crystal (PBE-GGA).

Summary:
- E_form (uncorrected): -2.06 eV/atom
- Raw total energy: -78.29 eV per cell

Geometry as POSCAR:
```
La2Nd3DyS6
1.0
-1.276 2.948 2.475
-7.671 -2.805 -0.612
3.863 -5.916 5.717
Nd S La Dy
3 6 2 1
Direct
0.169 0.834 0.337 Nd
0.831 0.166 0.663 Nd
0.500 0.500 0.000 Nd
0.666 0.587 0.331 S
0.338 0.922 0.677 S
0.998 0.238 0.995 S
0.002 0.762 0.005 S
0.662 0.078 0.323 S
0.334 0.413 0.669 S
0.166 0.334 0.332 La
0.834 0.666 0.668 La
0.500 0.000 0.000 Dy
```

***

Entry 4:
Entry from Alexandria via LeMat-Bulk: a relaxed KGe2Os crystal (PBE-GGA).

Summary:
- Energy relative to the elements: 660 meV/atom
- Raw total energy: -18.92 eV per cell

Geometry as POSCAR:
```
KGe2Os
1.0
4.114 0.531 2.132
0.203 1.987 4.215
1.036 -2.578 3.746
Ge Os K
2 1 1
Direct
0.750 0.750 0.750 Ge
0.250 0.250 0.250 Ge
0.500 0.500 0.500 Os
0.000 0.000 0.000 K
```

***

Entry 5:
Entry from Alexandria via LeMat-Bulk: a relaxed LiDyTe crystal (PBE-GGA).

Summary:
- E_form (uncorrected): -0.86 eV/atom
- Raw total energy: -12.23 eV per cell

Geometry as POSCAR:
```
LiDyTe
1.0
-2.635 -0.746 2.879
3.124 -2.104 2.315
-0.618 4.342 0.559
Te Dy Li
1 1 1
Direct
0.167 0.333 0.667 Te
0.667 0.667 0.333 Dy
0.167 0.000 0.000 Li
```

***

Entry 6:
Entry from Alexandria via LeMat-Bulk: a relaxed DyTmCuIr crystal (PBE-GGA).

Summary:
- Energy relative to the elements: -624 meV/atom
- Raw total energy: -24.53 eV per cell

Geometry as POSCAR:
```
DyTmCuIr
1.0
4.839 0.000 0.000
2.420 4.191 0.000
2.420 1.397 3.951
Ir Cu Dy Tm
1 1 1 1
Direct
0.750 0.750 0.750 Ir
0.250 0.250 0.250 Cu
0.000 0.000 0.000 Dy
0.500 0.500 0.500 Tm
```

***

Entry 7:
Entry from Alexandria via LeMat-Bulk: a relaxed ScHgPdRh crystal (PBE-GGA).

Summary:
- Energy relative to the elements: -591 meV/atom
- Raw total energy: -21.54 eV per cell

Geometry as POSCAR:
```
ScHgPdRh
1.0
4.610 0.000 0.000
2.305 3.993 0.000
2.305 1.331 3.764
Sc Rh Pd Hg
1 1 1 1
Direct
0.000 0.000 0.000 Sc
0.250 0.250 0.250 Rh
0.750 0.750 0.750 Pd
0.500 0.500 0.500 Hg
```